[1]
Compound: SmTm5In
Source: the Alexandria database
Functional: PBE-GGA
Structure: relaxed

Symmetry ... Imm2, No. 44
Uncorrected energy ... -4.16 eV per atom
Magnetization ... 0.00 μB/cell

Lattice parameters (Å, degrees): 11.038 6.421 7.089 116.93 141.13 90.00
Fractional coordinates of all 7 atoms:
Tm (0.833, 0.754, 0.507)
Tm (0.351, 0.239, 0.000)
Tm (0.326, 0.246, 0.493)
Tm (0.351, 0.761, 0.000)
Tm (0.096, 0.500, 0.000)
In (0.827, 0.500, 0.000)
Sm (0.747, 0.000, 0.000)



[2]
Compound: KBe2Cu
Source: the Alexandria database
Functional: PBE-GGA
Structure: relaxed

Symmetry ... P4/mmm, No. 123
Uncorrected energy ... -1.89 eV per atom
Magnetization ... 0.00 μB/cell

Lattice parameters (Å, degrees): 4.650 3.969 3.969 90.00 90.00 90.00
Fractional coordinates of all 4 atoms:
Cu (0.500, 0.500, 0.000)
Be (0.000, 0.500, 0.500)
Be (0.000, 0.000, 0.000)
K (0.500, 0.000, 0.500)



[3]
Compound: Ca2TcBr
Source: the Alexandria database
Functional: PBE-GGA
Structure: relaxed

Symmetry ... P4/mmm, No. 123
Uncorrected energy ... -4.26 eV per atom
Uncorrected formation energy ... -0.99 eV per formula unit
Magnetization ... 1.59 μB/cell

Lattice parameters (Å, degrees): 3.452 3.452 8.260 90.00 90.00 90.00
Each line ends with the local moment (μB).
Fractional coordinates of all 4 atoms:
Ca (0.000, 0.000, 0.021)  -0.01
Ca (0.000, 0.000, 0.479)  -0.01
Tc (0.500, 0.500, 0.250)  1.48
Br (0.500, 0.500, 0.750)  -0.01



[4]
Compound: LaMnH5
Source: the Alexandria database
Functional: PBE-GGA
Structure: relaxed

Symmetry ... Immm, No. 71
Uncorrected energy ... -4.70 eV per atom
Magnetization ... 4.01 μB/cell

Lattice parameters (Å, degrees): 4.626 4.626 7.593 65.80 65.80 65.43
Each line ends with the local moment (μB).
Fractional coordinates of all 14 atoms:
H (0.592, 0.082, 0.082)  -0.01
H (0.082, 0.592, 0.582)  -0.01
H (0.592, 0.082, 0.581)  -0.01
H (0.000, 0.000, 0.250)  -0.01
H (0.000, 0.000, 0.750)  -0.01
H (0.408, 0.918, 0.419)  -0.01
H (0.918, 0.408, 0.418)  -0.01
H (0.408, 0.918, 0.918)  -0.01
H (0.918, 0.408, 0.919)  -0.01
H (0.082, 0.592, 0.081)  -0.01
La (0.500, 0.500, 0.750)  -0.06
La (0.500, 0.500, 0.250)  -0.06
Mn (0.000, 0.000, 0.500)  2.03
Mn (0.000, 0.000, 0.000)  2.03



[5]
Compound: HfNbAu
Source: the Alexandria database
Functional: PBE-GGA
Structure: relaxed

Symmetry ... P4/nmm, No. 129
Uncorrected energy ... -8.13 eV per atom
Magnetization ... 0.00 μB/cell

Lattice parameters (Å, degrees): 3.467 3.467 9.544 90.00 90.00 90.00
Fractional coordinates of all 6 atoms:
Nb (0.000, 0.500, 0.576)
Nb (0.500, 0.000, 0.424)
Hf (0.500, 0.000, 0.759)
Hf (0.000, 0.500, 0.241)
Au (0.000, 0.500, 0.914)
Au (0.500, 0.000, 0.086)



[6]
Compound: CrGeIr2
Source: the Alexandria database
Functional: PBE-GGA
Structure: relaxed

Symmetry ... I-42d, No. 122
Uncorrected energy ... -7.47 eV per atom
Magnetization ... 1.56 μB/cell

Lattice parameters (Å, degrees): 5.428 5.428 6.698 66.10 66.10 90.00
Each line ends with the local moment (μB).
Fractional coordinates of all 8 atoms:
Ge (0.000, 0.000, 0.000)  0.00
Ge (0.750, 0.250, 0.500)  0.00
Ir (0.608, 0.125, 0.250)  -0.06
Ir (0.875, 0.858, 0.750)  -0.06
Ir (0.142, 0.625, 0.250)  -0.06
Ir (0.375, 0.392, 0.750)  -0.05
Cr (0.500, 0.500, 0.000)  0.85
Cr (0.250, 0.750, 0.500)  0.84



[7]
Compound: CePaCr
Source: the Alexandria database
Functional: PBE-GGA
Structure: relaxed

Symmetry ... I4mm, No. 107
Uncorrected energy ... -8.18 eV per atom
Magnetization ... 0.00 μB/cell

Lattice parameters (Å, degrees): 3.381 3.381 5.873 106.73 106.73 90.00
Fractional coordinates of all 3 atoms:
Cr (0.684, 0.684, 0.368)
Ce (0.000, 0.000, 0.000)
Pa (0.316, 0.316, 0.632)



[8]
Compound: LiAl5Pd
Source: the Alexandria database
Functional: PBE-GGA
Structure: relaxed

Symmetry ... P4/mmm, No. 123
Uncorrected energy ... -4.02 eV per atom
Magnetization ... 0.00 μB/cell

Lattice parameters (Å, degrees): 4.266 4.266 6.440 90.00 90.00 90.00
Fractional coordinates of all 7 atoms:
Al (0.000, 0.500, 0.278)
Al (0.500, 0.500, 0.000)
Al (0.000, 0.500, 0.722)
Al (0.500, 0.000, 0.278)
Al (0.500, 0.000, 0.722)
Pd (0.000, 0.000, 0.500)
Li (0.000, 0.000, 0.000)



[9]
Compound: CaCrMo2
Source: the Alexandria database
Functional: PBE-GGA
Structure: relaxed

Symmetry ... Cm, No. 8
Uncorrected energy ... -7.57 eV per atom
Magnetization ... 3.28 μB/cell

Lattice parameters (Å, degrees): 4.716 4.716 6.008 88.97 88.97 34.33
Each line ends with the local moment (μB).
Fractional coordinates of all 4 atoms:
Cr (0.254, 0.254, 0.203)  3.00
Mo (0.750, 0.750, 0.805)  0.11
Mo (0.992, 0.992, 0.995)  -0.22
Ca (0.504, 0.504, 0.497)  0.04



Number 6 is which compound? CrGeIr2



Which of these has the highest uncorrected energy? KBe2Cu



Which of these has the lowest uncorrected energy? CePaCr



What is the uncorrected energy in the fifth record? -8.13 eV per atom